Entry 1:
# PBE RbPmP2O6, relaxed
# Uncorrected formation energy (meV per atom): -2295
data_RbPmP2O6
_chemical_formula_sum 'Rb1 Pm1 P2 O6'
_cell_length_a 5.712
_cell_length_b 5.712
_cell_length_c 7.389
_cell_angle_alpha 67.26
_cell_angle_beta 67.26
_cell_angle_gamma 60.00
_space_group_name_H-M_alt 'P 1'
_space_group_IT_number 1
loop_
_space_group_symop_operation_xyz
'x,y,z'
loop_
_atom_site_label
_atom_site_type_symbol
_atom_site_fract_x
_atom_site_fract_y
_atom_site_fract_z
Rb1 Rb 0.000 0.000 0.000
Pm1 Pm 0.500 0.500 0.500
P1 P 0.745 0.745 0.766
P2 P 0.255 0.255 0.234
O1 O 0.053 0.543 0.704
O2 O 0.700 0.053 0.704
O3 O 0.457 0.300 0.296
O4 O 0.947 0.457 0.296
O5 O 0.300 0.947 0.296
O6 O 0.543 0.700 0.704

=====

Entry 2:
# PBE V6GaFe, relaxed
# Energy above the most stable polymorph in this dataset (meV per atom): 0
# D(E_F) (states/eV per cell): 6.04
# E_form (kcal/mol of atoms): -4.296
data_V6GaFe
_chemical_formula_sum 'V6 Ga1 Fe1'
_cell_length_a 6.654
_cell_length_b 6.654
_cell_length_c 4.707
_cell_angle_alpha 45.01
_cell_angle_beta 44.97
_cell_angle_gamma 59.96
_space_group_name_H-M_alt 'P 1'
_space_group_IT_number 1
loop_
_space_group_symop_operation_xyz
'x,y,z'
loop_
_atom_site_label
_atom_site_type_symbol
_atom_site_fract_x
_atom_site_fract_y
_atom_site_fract_z
V1 V 0.000 0.500 0.742
V2 V 0.758 0.000 0.742
V3 V 0.500 0.242 0.258
V4 V 0.242 0.000 0.258
V5 V 0.000 0.500 0.258
V6 V 0.500 0.758 0.742
Ga1 Ga 0.500 0.500 0.500
Fe1 Fe 0.000 0.000 0.000

=====

Entry 3:
# PBE GaPbO3, relaxed
# Uncorrected formation energy (meV per atom): -276
# D(E_F) (states/eV per cell): 5.76
data_GaPbO3
_chemical_formula_sum 'Ga1 Pb1 O3'
_cell_length_a 4.189
_cell_length_b 4.189
_cell_length_c 4.189
_cell_angle_alpha 90.00
_cell_angle_beta 90.00
_cell_angle_gamma 90.00
_space_group_name_H-M_alt 'P 1'
_space_group_IT_number 1
loop_
_space_group_symop_operation_xyz
'x,y,z'
loop_
_atom_site_label
_atom_site_type_symbol
_atom_site_fract_x
_atom_site_fract_y
_atom_site_fract_z
Pb1 Pb 0.000 0.000 0.000
O1 O 0.000 0.500 0.000
O2 O 0.000 0.000 0.500
O3 O 0.500 0.000 0.000
Ga1 Ga 0.500 0.500 0.500

=====

Entry 4:
# PBE AcGe3Pd5, relaxed
# D(E_F) (states/eV per cell): 7.80
# E_form (kcal/mol of atoms): -15.510
data_AcGe3Pd5
_chemical_formula_sum 'Ac2 Ge6 Pd10'
_cell_length_a 4.010
_cell_length_b 6.823
_cell_length_c 12.985
_cell_angle_alpha 90.00
_cell_angle_beta 90.00
_cell_angle_gamma 107.09
_space_group_name_H-M_alt 'P 1'
_space_group_IT_number 1
loop_
_space_group_symop_operation_xyz
'x,y,z'
loop_
_atom_site_label
_atom_site_type_symbol
_atom_site_fract_x
_atom_site_fract_y
_atom_site_fract_z
Ac1 Ac 0.846 0.692 0.750
Ac2 Ac 0.154 0.308 0.250
Ge1 Ge 0.383 0.765 0.961
Ge2 Ge 0.883 0.765 0.250
Ge3 Ge 0.383 0.765 0.539
Ge4 Ge 0.617 0.235 0.461
Ge5 Ge 0.117 0.235 0.750
Ge6 Ge 0.617 0.235 0.039
Pd1 Pd 0.798 0.597 0.427
Pd2 Pd 0.202 0.403 0.927
Pd3 Pd 0.000 0.000 0.500
Pd4 Pd 0.000 0.000 0.000
Pd5 Pd 0.449 0.899 0.145
Pd6 Pd 0.551 0.101 0.855
Pd7 Pd 0.551 0.101 0.645
Pd8 Pd 0.798 0.597 0.073
Pd9 Pd 0.202 0.403 0.573
Pd10 Pd 0.449 0.899 0.355

=====

Entry 5:
# PBE RbMn2GaRe, relaxed
# D(E_F) (states/eV per cell): 9.15
# E_form (kcal/mol of atoms): 45.786
data_RbMn2GaRe
_chemical_formula_sum 'Rb1 Mn2 Ga1 Re1'
_cell_length_a 4.924
_cell_length_b 5.986
_cell_length_c 4.924
_cell_angle_alpha 90.00
_cell_angle_beta 90.00
_cell_angle_gamma 90.00
_space_group_name_H-M_alt 'P 1'
_space_group_IT_number 1
loop_
_space_group_symop_operation_xyz
'x,y,z'
loop_
_atom_site_label
_atom_site_type_symbol
_atom_site_fract_x
_atom_site_fract_y
_atom_site_fract_z
Re1 Re 0.500 0.500 0.500
Mn1 Mn 0.000 0.000 0.500
Mn2 Mn 0.500 0.000 0.000
Ga1 Ga 0.000 0.000 0.000
Rb1 Rb 0.000 0.500 0.000

=====

Entry 6:
# PBE LiY2Tc, relaxed
# D(E_F) (states/eV per cell): 4.64
# E_form (kcal/mol of atoms): 13.453
data_LiY2Tc
_chemical_formula_sum 'Li1 Y2 Tc1'
_cell_length_a 8.207
_cell_length_b 8.207
_cell_length_c 8.207
_cell_angle_alpha 36.12
_cell_angle_beta 154.68
_cell_angle_gamma 154.66
_space_group_name_H-M_alt 'P 1'
_space_group_IT_number 1
loop_
_space_group_symop_operation_xyz
'x,y,z'
loop_
_atom_site_label
_atom_site_type_symbol
_atom_site_fract_x
_atom_site_fract_y
_atom_site_fract_z
Li1 Li 0.000 0.000 0.000
Y1 Y 0.000 0.340 0.340
Y2 Y 0.000 0.660 0.660
Tc1 Tc 0.000 0.500 0.500

=====

Entry 7:
# PBE CaPuNi, relaxed
# Energy above the most stable polymorph in this dataset (meV per atom): 53
# D(E_F) (states/eV per cell): 10.74
# E_form (kcal/mol of atoms): 1.488
data_CaPuNi
_chemical_formula_sum 'Ca1 Pu1 Ni1'
_cell_length_a 3.377
_cell_length_b 3.377
_cell_length_c 6.802
_cell_angle_alpha 104.37
_cell_angle_beta 104.37
_cell_angle_gamma 90.00
_space_group_name_H-M_alt 'P 1'
_space_group_IT_number 1
loop_
_space_group_symop_operation_xyz
'x,y,z'
loop_
_atom_site_label
_atom_site_type_symbol
_atom_site_fract_x
_atom_site_fract_y
_atom_site_fract_z
Ni1 Ni 0.677 0.677 0.353
Ca1 Ca 0.029 0.029 0.059
Pu1 Pu 0.294 0.294 0.588

=====

Entry 8:
# PBE TlHg4As, relaxed
# D(E_F) (states/eV per cell): 4.54
# E_form (kcal/mol of atoms): 6.227
data_TlHg4As
_chemical_formula_sum 'Tl1 Hg4 As1'
_cell_length_a 6.106
_cell_length_b 6.106
_cell_length_c 6.106
_cell_angle_alpha 60.00
_cell_angle_beta 60.00
_cell_angle_gamma 60.00
_space_group_name_H-M_alt 'P 1'
_space_group_IT_number 1
loop_
_space_group_symop_operation_xyz
'x,y,z'
loop_
_atom_site_label
_atom_site_type_symbol
_atom_site_fract_x
_atom_site_fract_y
_atom_site_fract_z
Tl1 Tl 0.750 0.750 0.750
Hg1 Hg 0.876 0.375 0.375
Hg2 Hg 0.375 0.375 0.876
Hg3 Hg 0.375 0.876 0.375
Hg4 Hg 0.375 0.375 0.375
As1 As 0.000 0.000 0.000

=====

no.,total magnetic moment (Bohr magnetons per cell)
1,2.0
2,0.0
3,0.0
4,0.0
5,12.6
6,0.7
7,5.9
8,0.0